The following is a DFT calculation (PBE) of a relaxed Sm6Sn3Pb crystal.

abc: 10.802 15.719 7.575
angles: 90.00 90.00 90.00
Space group Cmc2_1 (No. 36)
One atom of each set of equivalent atoms:
Sm (0.000, 0.032, 0.000) x4
Sm (0.000, 0.286, 0.923) x4
Sm (0.201, 0.294, 0.495) x8
Sm (0.212, 0.459, 0.845) x8
Sn (0.000, 0.437, 0.568) x4
Sn (0.149, 0.123, 0.693) x8
Pb (0.000, 0.167, 0.300) x4

magnetic moment: 0.00 μB per formula unit
V: 1286.2 Å³/cell
formation energy from the elements: -4.56 eV/f.u.